[1]
This record from the Alexandria database describes AcIrF after structural relaxation. The functional is PBE.

a = 4.2144 Å, b = 4.2144 Å, c = 7.6710 Å
α = 90.62°, β = 90.62°, γ = 85.68°
Closest atoms and distances in Å follow each position.
Positions (direct):
Ac 0.1382 0.1382 0.2471  2 F 2.54-2.56
Ac 0.8618 0.8618 0.7529  2 F 2.54-2.56
Ir 0.3924 0.3924 0.8633  1 Ir 2.47, 1 F 2.48
Ir 0.6076 0.6076 0.1367  1 Ir 2.47, 1 F 2.48
F 0.2082 0.2082 0.5742  1 Ir 2.48, 2 Ac 2.54-2.56
F 0.7918 0.7918 0.4258  1 Ir 2.48, 2 Ac 2.54-2.56

Properties
Symmetry ... C2/m (12)
Formation energy without anion corrections ... -1.63 eV per atom
Theoretical density ... 10.7 g/cm3



[2]
This record from the Alexandria database describes Ac4Ir3F after structural relaxation. The functional is PBE.

a = 7.3899 Å, b = 7.3899 Å, c = 4.3553 Å
α = 90.00°, β = 90.00°, γ = 108.52°
Closest atoms and distances in Å follow each position.
Positions (direct):
Ac 0.2381 0.2381 0.5607  1 F 2.65, 1 Ir 2.93
Ac 0.2503 0.7497 0.0000  5 Ir 3.01-3.08, 1 F 3.04
Ac 0.7497 0.2503 0.0000  5 Ir 3.01-3.08, 1 F 3.04
Ac 0.7619 0.7619 0.5607  1 F 2.65, 1 Ir 2.93
Ir 0.0000 0.0000 0.0414  6 Ac 2.93-3.06
Ir 0.0000 0.5000 0.4966  6 Ac 3.01-3.08
Ir 0.5000 0.0000 0.4966  6 Ac 3.01-3.08
F 0.5000 0.5000 0.8765  2 Ac 2.65

Properties
Symmetry ... Cmm2 (35)
Formation energy without anion corrections ... -1.12 eV per atom
Theoretical density ... 11.1 g/cm3



[3]
This record from the Alexandria database describes Ac3IrPbF after structural relaxation. The functional is PBE.

a = 9.6776 Å, b = 4.3637 Å, c = 9.8053 Å
α = 90.00°, β = 106.00°, γ = 90.00°
Closest atoms and distances in Å follow each position.
Positions (direct):
Ac 0.0503 0.2500 0.3401  3 Ir 3.02-3.03
Ac 0.2987 0.2500 0.9713  3 F 2.58-2.63
Ac 0.3713 0.7500 0.6330  1 F 2.69, 2 Ir 3.01
Ac 0.6287 0.2500 0.3670  1 F 2.69, 2 Ir 3.01
Ac 0.7013 0.7500 0.0287  3 F 2.58-2.63
Ac 0.9497 0.7500 0.6599  3 Ir 3.02-3.03
Ir 0.1667 0.2500 0.6596  6 Ac 2.97-3.03
Ir 0.8333 0.7500 0.3404  6 Ac 2.97-3.03
Pb 0.3118 0.7500 0.2557  7 Ac 3.51-3.68, 1 F 3.77
Pb 0.6882 0.2500 0.7443  7 Ac 3.51-3.68, 1 F 3.77
F 0.4261 0.7500 0.9176  4 Ac 2.58-2.69, 2 F 2.85
F 0.5739 0.2500 0.0824  4 Ac 2.58-2.69, 2 F 2.85

Properties
Symmetry ... P2_1/m (11)
Formation energy without anion corrections ... -1.33 eV per atom
Theoretical density ... 9.2 g/cm3



[4]
This record from the Alexandria database describes Ac5IrPt2F after structural relaxation. The functional is PBE.

a = 9.3987 Å, b = 9.3987 Å, c = 13.7442 Å
α = 90.00°, β = 90.00°, γ = 153.53°
Closest atoms and distances in Å follow each position.
Positions (direct):
Ac 0.0031 0.9969 0.5000  1 F 2.52
Ac 0.1372 0.8628 0.7582  1 Ir 2.90, 2 Pt 3.24
Ac 0.2053 0.7947 0.1073  1 F 2.68, 2 Ir 2.99
Ac 0.2049 0.7951 0.4085  2 Ir 2.98, 1 Pt 3.29
Ac 0.4550 0.5450 0.7550  2 F 2.54
Ac 0.5450 0.4550 0.2550  2 F 2.54
Ac 0.7947 0.2053 0.6073  1 F 2.68, 2 Ir 2.99
Ac 0.7951 0.2049 0.9085  2 Ir 2.98, 1 Pt 3.29
Ac 0.8628 0.1372 0.2582  1 Ir 2.90, 2 Pt 3.24
Ac 0.9969 0.0031 0.0000  1 F 2.52
Ir 0.2956 0.7044 0.7584  6 Ac 2.90-2.99
Ir 0.7044 0.2956 0.2584  6 Ac 2.90-2.99
Pt 0.3837 0.6163 0.4318  5 Ac 3.21-3.29
Pt 0.3846 0.6154 0.0785  5 Ac 3.17-3.30
Pt 0.6154 0.3846 0.5785  5 Ac 3.17-3.30
Pt 0.6163 0.3837 0.9318  5 Ac 3.21-3.29
F 0.0644 0.9356 0.1599  4 Ac 2.52-2.68
F 0.9356 0.0644 0.6599  4 Ac 2.52-2.68

Properties
Symmetry ... Cmc2_1 (36)
Formation energy without anion corrections ... -1.24 eV per atom
Theoretical density ... 10.7 g/cm3



[5]
This record from the Alexandria database describes Ac3IrRhF after structural relaxation. The functional is PBE.

a = 8.7846 Å, b = 4.1600 Å, c = 9.3115 Å
α = 90.00°, β = 102.86°, γ = 90.00°
Closest atoms and distances in Å follow each position.
Positions (direct):
Ac 0.0883 0.2500 0.3409  3 Rh 3.01-3.02, 2 Ir 3.08
Ac 0.2772 0.2500 0.9999  3 F 2.58-2.60
Ac 0.4046 0.7500 0.6402  1 F 2.65
Ac 0.5954 0.2500 0.3598  1 F 2.65
Ac 0.7228 0.7500 0.0001  3 F 2.58-2.60
Ac 0.9117 0.7500 0.6591  3 Rh 3.01-3.02, 2 Ir 3.08
Ir 0.3216 0.7500 0.2746  7 Ac 3.08-3.32
Ir 0.6784 0.2500 0.7254  7 Ac 3.08-3.32
Rh 0.1631 0.2500 0.6740  6 Ac 2.98-3.04
Rh 0.8369 0.7500 0.3260  6 Ac 2.98-3.04
F 0.4222 0.7500 0.9279  4 Ac 2.58-2.65, 2 F 2.68
F 0.5778 0.2500 0.0721  4 Ac 2.58-2.65, 2 F 2.68

Properties
Symmetry ... P2_1/m (11)
Formation energy without anion corrections ... -1.32 eV per atom
Theoretical density ... 10.0 g/cm3



[6]
This record from the Alexandria database describes Ac8Ir3S4F after structural relaxation. The functional is PBE.

a = 8.9448 Å, b = 8.9448 Å, c = 8.9448 Å
α = 56.64°, β = 56.64°, γ = 56.64°
Closest atoms and distances in Å follow each position.
Positions (direct):
Ac 0.2382 0.7480 0.7480  2 Ir 2.99, 1 F 3.05, 3 S 3.12-3.17
Ac 0.2439 0.2439 0.2439  3 Ir 3.00, 3 S 3.17
Ac 0.2520 0.2520 0.7618  2 Ir 2.99, 1 F 3.05, 3 S 3.12-3.17
Ac 0.2520 0.7618 0.2520  2 Ir 2.99, 1 F 3.05, 3 S 3.12-3.17
Ac 0.7480 0.2382 0.7480  2 Ir 2.99, 1 F 3.05, 3 S 3.12-3.17
Ac 0.7480 0.7480 0.2382  2 Ir 2.99, 1 F 3.05, 3 S 3.12-3.17
Ac 0.7561 0.7561 0.7561  3 Ir 3.00, 3 S 3.17
Ac 0.7618 0.2520 0.2520  2 Ir 2.99, 1 F 3.05, 3 S 3.12-3.17
Ir 0.0000 0.0000 0.5000  6 Ac 2.99-3.00
Ir 0.0000 0.5000 0.0000  6 Ac 2.99-3.00
Ir 0.5000 0.0000 0.0000  6 Ac 2.99-3.00
S 0.0000 0.0000 0.0000  6 Ac 3.12
S 0.0000 0.5000 0.5000  6 Ac 3.17
S 0.5000 0.0000 0.5000  6 Ac 3.17
S 0.5000 0.5000 0.0000  6 Ac 3.17
F 0.5000 0.5000 0.5000  6 Ac 3.05

Properties
Symmetry ... R-3m (166)
Formation energy without anion corrections ... -1.53 eV per atom
Theoretical density ... 9.0 g/cm3



[7]
This record from the Alexandria database describes Ac8Ir3Se4F after structural relaxation. The functional is PBE.

a = 9.1374 Å, b = 9.1374 Å, c = 9.1374 Å
α = 56.30°, β = 56.30°, γ = 56.30°
Closest atoms and distances in Å follow each position.
Positions (direct):
Ac 0.2334 0.7456 0.7456  2 Ir 3.00, 1 F 3.08, 3 Se 3.22-3.29
Ac 0.2405 0.2405 0.2405  3 Ir 3.01, 3 Se 3.28
Ac 0.2544 0.2544 0.7666  2 Ir 3.00, 1 F 3.08, 3 Se 3.22-3.29
Ac 0.2544 0.7666 0.2544  2 Ir 3.00, 1 F 3.08, 3 Se 3.22-3.29
Ac 0.7456 0.2334 0.7456  2 Ir 3.00, 1 F 3.08, 3 Se 3.22-3.29
Ac 0.7456 0.7456 0.2334  2 Ir 3.00, 1 F 3.08, 3 Se 3.22-3.29
Ac 0.7595 0.7595 0.7595  3 Ir 3.01, 3 Se 3.28
Ac 0.7666 0.2544 0.2544  2 Ir 3.00, 1 F 3.08, 3 Se 3.22-3.29
Ir 0.0000 0.0000 0.5000  6 Ac 3.00-3.01
Ir 0.0000 0.5000 0.0000  6 Ac 3.00-3.01
Ir 0.5000 0.0000 0.0000  6 Ac 3.00-3.01
Se 0.0000 0.0000 0.0000  6 Ac 3.22
Se 0.0000 0.5000 0.5000  6 Ac 3.28-3.29
Se 0.5000 0.0000 0.5000  6 Ac 3.28-3.29
Se 0.5000 0.5000 0.0000  6 Ac 3.28-3.29
F 0.5000 0.5000 0.5000  6 Ac 3.08

Properties
Symmetry ... R-3m (166)
Formation energy without anion corrections ... -1.50 eV per atom
Theoretical density ... 9.2 g/cm3



[8]
This record from the Alexandria database describes KAcF2 after structural relaxation. The functional is PBE.

a = 7.4747 Å, b = 7.4747 Å, c = 7.4747 Å
α = 28.87°, β = 28.87°, γ = 28.87°
Closest atoms and distances in Å follow each position.
Positions (direct):
K 0.0000 0.0000 0.0000  6 F 2.68
Ac 0.5000 0.5000 0.5000  6 F 2.93
F 0.2590 0.2590 0.2590  3 K 2.68, 3 Ac 2.93
F 0.7410 0.7410 0.7410  3 K 2.68, 3 Ac 2.93

Properties
Polymorph energy (0 for the lowest one) ... 0 meV/atom
Symmetry ... R-3m (166)
Formation energy without anion corrections ... -2.43 eV per atom
Theoretical density ... 5.9 g/cm3



[9]
This record from the Alexandria database describes KAcF4 after structural relaxation. The functional is PBE.

a = 4.2416 Å, b = 4.2416 Å, c = 6.3040 Å
α = 90.00°, β = 90.00°, γ = 90.00°
Closest atoms and distances in Å follow each position.
Positions (direct):
K 0.0000 0.0000 0.0000  8 F 2.76
Ac 0.5000 0.5000 0.5000  8 F 2.53
F 0.0000 0.5000 0.2800  2 Ac 2.53, 2 K 2.76, 1 F 2.77
F 0.0000 0.5000 0.7200  2 Ac 2.53, 2 K 2.76, 1 F 2.77
F 0.5000 0.0000 0.2800  2 Ac 2.53, 2 K 2.76, 1 F 2.77
F 0.5000 0.0000 0.7200  2 Ac 2.53, 2 K 2.76, 1 F 2.77

Properties
Symmetry ... P4/mmm (123)
Formation energy without anion corrections ... -3.77 eV per atom
Theoretical density ... 5.0 g/cm3



[10]
This record from the Alexandria database describes KAcF after structural relaxation. The functional is PBE.

a = 4.1565 Å, b = 4.1565 Å, c = 14.8840 Å
α = 90.88°, β = 90.88°, γ = 59.94°
Closest atoms and distances in Å follow each position.
Positions (direct):
K 0.1529 0.1529 0.1443  3 F 2.68
K 0.8471 0.8471 0.8557  3 F 2.68
Ac 0.1710 0.1710 0.6128  1 F 2.42
Ac 0.8290 0.8290 0.3872  1 F 2.42
F 0.1775 0.1775 0.7754  1 Ac 2.42, 3 K 2.68
F 0.8225 0.8225 0.2246  1 Ac 2.42, 3 K 2.68

Properties
Symmetry ... C2/m (12)
Formation energy without anion corrections ... -1.70 eV per atom
Theoretical density ... 4.3 g/cm3



[11]
This record from the Alexandria database describes K3AcF8 after structural relaxation. The functional is PBE.

a = 7.6116 Å, b = 7.6116 Å, c = 7.6116 Å
α = 131.83°, β = 131.83°, γ = 70.50°
Closest atoms and distances in Å follow each position.
Positions (direct):
K 0.0000 0.0000 0.0000  8 F 2.77
K 0.2500 0.7500 0.5000  8 F 2.76
K 0.7500 0.2500 0.5000  8 F 2.76
Ac 0.5000 0.5000 0.0000  8 F 2.49
F 0.1525 0.1525 0.5374  1 Ac 2.49, 3 K 2.76-2.77
F 0.1525 0.6152 0.0000  1 Ac 2.49, 3 K 2.76-2.77
F 0.3848 0.3848 0.5374  1 Ac 2.49, 3 K 2.76-2.77
F 0.3848 0.8475 0.0000  1 Ac 2.49, 3 K 2.76-2.77
F 0.6152 0.1525 0.0000  1 Ac 2.49, 3 K 2.76-2.77
F 0.6152 0.6152 0.4626  1 Ac 2.49, 3 K 2.76-2.77
F 0.8475 0.3848 0.0000  1 Ac 2.49, 3 K 2.76-2.77
F 0.8475 0.8475 0.4626  1 Ac 2.49, 3 K 2.76-2.77

Properties
Symmetry ... I4/mmm (139)
Formation energy without anion corrections ... -2.76 eV per atom
Theoretical density ... 3.4 g/cm3



[12]
This record from the Alexandria database describes KAc2F6 after structural relaxation. The functional is PBE.

a = 9.9863 Å, b = 9.9863 Å, c = 9.9863 Å
α = 155.47°, β = 155.47°, γ = 34.97°
Closest atoms and distances in Å follow each position.
Positions (direct):
K 0.0000 0.0000 0.0000  8 F 2.76
Ac 0.3363 0.3363 0.0000  8 F 2.51-2.68
Ac 0.6637 0.6637 0.0000  8 F 2.51-2.68
F 0.0929 0.5929 0.5000  2 Ac 2.51, 2 K 2.76
F 0.2500 0.7500 0.5000  4 Ac 2.68, 6 F 2.99-3.00
F 0.4071 0.9071 0.5000  2 Ac 2.51, 2 K 2.76
F 0.5929 0.0929 0.5000  2 Ac 2.51, 2 K 2.76
F 0.7500 0.2500 0.5000  4 Ac 2.68, 6 F 2.99-3.00
F 0.9071 0.4071 0.5000  2 Ac 2.51, 2 K 2.76

Properties
Symmetry ... I4/mmm (139)
Formation energy without anion corrections ... -3.63 eV per atom
Theoretical density ... 5.9 g/cm3



What are the size of the total moment values for these records? In order: 0.0 0.0 0.0 0.6 0.0 0.0 0.0 0.0 0.0 0.0 2.1 0.9 μB per formula unit.